Mn3Ga4Ni9 | meta-GGA SCAN | PBEsol geometry

a b c (Å): 5.2878 5.2878 6.5537
angles (deg): 90.00 90.00 90.00
Closest atoms and distances in Å follow each position.
Positions (direct):
Mn1 0.5000 0.0000 0.0000  8 Ni 2.49, 4 Ga 2.64
Mn2 0.0000 0.0000 0.5000  8 Ni 2.50, 4 Ga 2.64
Mn3 0.0000 0.5000 0.0000  8 Ni 2.49, 4 Ga 2.64
Ga1 0.0000 0.0000 0.0000  8 Ni 2.51, 4 Mn 2.64
Ga2 0.0000 0.5000 0.5000  10 Ni 2.48-2.64, 2 Mn 2.64
Ga3 0.5000 0.0000 0.5000  10 Ni 2.48-2.64, 2 Mn 2.64
Ga4 0.5000 0.5000 0.0000  8 Ni 2.47, 4 Mn 2.64
Ni1 0.2528 0.2528 0.2510  5 Ni 2.47-2.67, 4 Ga 2.47-2.51, 3 Mn 2.49-2.50
Ni2 0.2528 0.7472 0.7490  5 Ni 2.47-2.67, 4 Ga 2.47-2.51, 3 Mn 2.49-2.50
Ni3 0.7472 0.2528 0.7490  5 Ni 2.47-2.67, 4 Ga 2.47-2.51, 3 Mn 2.49-2.50
Ni4 0.7472 0.7472 0.2510  5 Ni 2.47-2.67, 4 Ga 2.47-2.51, 3 Mn 2.49-2.50
Ni5 0.2528 0.2528 0.7490  5 Ni 2.47-2.67, 4 Ga 2.47-2.51, 3 Mn 2.49-2.50
Ni6 0.2528 0.7472 0.2510  5 Ni 2.47-2.67, 4 Ga 2.47-2.51, 3 Mn 2.49-2.50
Ni7 0.7472 0.2528 0.2510  5 Ni 2.47-2.67, 4 Ga 2.47-2.51, 3 Mn 2.49-2.50
Ni8 0.7472 0.7472 0.7490  5 Ni 2.47-2.67, 4 Ga 2.47-2.51, 3 Mn 2.49-2.50
Ni9 0.5000 0.5000 0.5000  8 Ni 2.47, 4 Ga 2.64

## Properties
Symmetry: No. 123
Formation enthalpy at 0 K (eV per atom): -0.4044